# Cs2HgC meta-GGA SCAN PBEsol geometry
data_Cs2HgC
_cell_length_a 8.1784
_cell_length_b 8.1784
_cell_length_c 8.1784
_cell_angle_alpha 90.00
_cell_angle_beta 90.00
_cell_angle_gamma 90.00
_space_group_name_H-M_alt 'F m -3 m'
_space_group_IT_number 225
_space_group_name_Hall '-F 4 2 3'
loop_
_atom_site_label
_atom_site_type_symbol
_atom_site_fract_x
_atom_site_fract_y
_atom_site_fract_z
Cs1 Cs 0.2500 0.2500 0.2500
Hg1 Hg 0.0000 0.0000 0.0000
C1 C 0.0000 0.0000 0.5000
# Total energy ... -37.52 eV/atom
# Formation energy from the elements ... 0.95 eV per atom